The following is a DFT calculation (GGA-PBEsol) of TaInS2N after structural relaxation.

As for the mass density: 6.585 g/cm3. The value obtained for the total energy is -5.3619 eV/atom. The calculation puts the density of states at the Fermi level at 2.1 states/eV/cell.

The structure belongs to space group P4/mmm (No. 123); the cell edges are 4.9029, 4.9029 and 3.9224 Å and the angles 90.00°, 90.00° and 90.00°. Symmetry generates all atoms from Ta at (0.0000, 0.0000, 0.0000), In at (0.5000, 0.5000, 0.5000), S at (0.0000, 0.5000, 0.5000) and N at (0.5000, 0.5000, 0.0000).


The following is a DFT calculation (GGA-PBEsol) of InTcS2N after structural relaxation.

As for the mass density: 4.757 g/cm3. The value obtained for the total energy is -4.8423 eV/atom. The calculation puts the density of states at the Fermi level at 3.7 states/eV/cell.

The structure belongs to space group P4/mmm (No. 123); the cell edges are 5.0307, 5.0307 and 4.0135 Å and the angles 90.00°, 90.00° and 90.00°. Symmetry generates all atoms from In at (0.0000, 0.0000, 0.0000), Tc at (0.5000, 0.5000, 0.5000), S at (0.0000, 0.5000, 0.0000) and N at (0.0000, 0.0000, 0.5000).


The following is a DFT calculation (GGA-PBEsol) of InTe2SN after structural relaxation.

As for the mass density: 5.440 g/cm3. The value obtained for the total energy is -3.4380 eV/atom. The calculation puts the density of states at the Fermi level at 4.3 states/eV/cell.

The structure belongs to space group P4/mmm (No. 123); the cell edges are 5.6883, 5.6883 and 3.9256 Å and the angles 90.00°, 90.00° and 90.00°. Symmetry generates all atoms from In at (0.0000, 0.0000, 0.0000), Te at (0.0000, 0.5000, 0.0000), S at (0.5000, 0.5000, 0.5000) and N at (0.0000, 0.0000, 0.5000).


The following is a DFT calculation (GGA-PBEsol) of InTeSN2 after structural relaxation.

As for the mass density: 6.264 g/cm3. The value obtained for the total energy is -4.1556 eV/atom. The calculation puts the density of states at the Fermi level at 3.2 states/eV/cell.

The structure belongs to space group P4/mmm (No. 123); the cell edges are 3.9117, 3.9117 and 5.2404 Å and the angles 90.00°, 90.00° and 90.00°. Symmetry generates all atoms from In at (0.0000, 0.0000, 0.0000), Te at (0.5000, 0.5000, 0.0000), S at (0.5000, 0.5000, 0.5000) and N at (0.0000, 0.5000, 0.5000).


The following is a DFT calculation (GGA-PBEsol) of InSbSe2N after structural relaxation.

As for the mass density: 5.964 g/cm3. The value obtained for the total energy is -4.0474 eV/atom. The calculation puts the density of states at the Fermi level at 2.4 states/eV/cell.

The structure belongs to space group P4/mmm (No. 123); the cell edges are 5.3111, 5.3111 and 4.0323 Å and the angles 90.00°, 90.00° and 90.00°. Symmetry generates all atoms from In at (0.0000, 0.0000, 0.0000), Sb at (0.5000, 0.5000, 0.5000), Se at (0.0000, 0.5000, 0.0000) and N at (0.0000, 0.0000, 0.5000).


The following is a DFT calculation (GGA-PBEsol) of InSbTe2N after structural relaxation.

As for the mass density: 4.737 g/cm3. The value obtained for the total energy is -3.0165 eV/atom. The calculation puts the density of states at the Fermi level at 5.0 states/eV/cell.

The structure belongs to space group P4/mmm (No. 123); the cell edges are 5.6456, 5.6456 and 5.5622 Å and the angles 90.00°, 90.00° and 90.00°. Symmetry generates all atoms from In at (0.0000, 0.0000, 0.0000), Sb at (0.0000, 0.0000, 0.5000), Te at (0.0000, 0.5000, 0.0000) and N at (0.5000, 0.5000, 0.5000).


The following is a DFT calculation (GGA-PBEsol) of Sc3InN after structural relaxation.

As for the mass density: 5.072 g/cm3. The value obtained for the total energy is -7.5064 eV/atom. The calculation puts the density of states at the Fermi level at 2.3 states/eV/cell.

The structure belongs to space group Pm-3m (No. 221); the cell edges are 4.4197, 4.4197 and 4.4197 Å and the angles 90.00°, 90.00° and 90.00°. Symmetry generates all atoms from Sc at (0.0000, 0.0000, 0.5000), In at (0.5000, 0.5000, 0.5000) and N at (0.0000, 0.0000, 0.0000).


The following is a DFT calculation (GGA-PBEsol) of ScInN3 after structural relaxation.

As for the mass density: 4.802 g/cm3. The value obtained for the total energy is -6.2226 eV/atom. The calculation puts the density of states at the Fermi level at 3.3 states/eV/cell.

The structure belongs to space group Pm-3m (No. 221); the cell edges are 4.1169, 4.1169 and 4.1169 Å and the angles 90.00°, 90.00° and 90.00°. Symmetry generates all atoms from Sc at (0.0000, 0.0000, 0.0000), In at (0.5000, 0.5000, 0.5000) and N at (0.0000, 0.0000, 0.5000).


The following is a DFT calculation (GGA-PBEsol) of InSe3N after structural relaxation.

As for the mass density: 6.854 g/cm3. The value obtained for the total energy is -4.0418 eV/atom. The calculation puts the density of states at the Fermi level at 4.2 states/eV/cell.

The structure belongs to space group Pm-3m (No. 221); the cell edges are 4.4580, 4.4580 and 4.4580 Å and the angles 90.00°, 90.00° and 90.00°. Symmetry generates all atoms from In at (0.0000, 0.0000, 0.0000), Se at (0.0000, 0.5000, 0.5000) and N at (0.5000, 0.5000, 0.5000).


The following is a DFT calculation (GGA-PBEsol) of InSiN2 after structural relaxation.

As for the mass density: 5.654 g/cm3. The value obtained for the total energy is -6.8826 eV/atom. The calculation puts the density of states at the Fermi level at 9.8 states/eV/cell. The value obtained for the relative energy among the computed polymorphs is 0 meV/atom.

The structure belongs to space group I-42d (No. 122); the cell edges are 4.8914, 4.8914 and 8.3913 Å and the angles 90.00°, 90.00° and 90.00°. Symmetry generates all atoms from In at (0.0000, 0.0000, 0.0000), Si at (0.0000, 0.0000, 0.5000) and N at (0.1419, 0.7500, 0.6250).


The following is a DFT calculation (GGA-PBEsol) of InSiN2 after structural relaxation.

As for the mass density: 5.115 g/cm3. The value obtained for the total energy is -6.2936 eV/atom. The calculation puts the density of states at the Fermi level at 4.8 states/eV/cell. The value obtained for the relative energy among the computed polymorphs is 589 meV/atom.

The structure belongs to space group R-3m (No. 166, hexagonal axes); the cell edges are 3.3876, 3.3876 and 16.7491 Å and the angles 90.00°, 90.00° and 120.00°. Symmetry generates all atoms from In at (0.0000, 0.0000, 0.0000), Si at (0.0000, 0.0000, 0.5000) and N at (0.0000, 0.0000, 0.4008).


The following is a DFT calculation (GGA-PBEsol) of Sm3InN after structural relaxation.

As for the mass density: 8.249 g/cm3. The value obtained for the total energy is -6.3681 eV/atom. The calculation puts the density of states at the Fermi level at 1.8 states/eV/cell.

The structure belongs to space group Pm-3m (No. 221); the cell edges are 4.8874, 4.8874 and 4.8874 Å and the angles 90.00°, 90.00° and 90.00°. Symmetry generates all atoms from Sm at (0.0000, 0.0000, 0.5000), In at (0.5000, 0.5000, 0.5000) and N at (0.0000, 0.0000, 0.0000).


The following is a DFT calculation (GGA-PBEsol) of InSnTe2N after structural relaxation.

As for the mass density: 6.216 g/cm3. The value obtained for the total energy is -3.9848 eV/atom. The calculation puts the density of states at the Fermi level at 4.3 states/eV/cell.

The structure belongs to space group P4/mmm (No. 123); the cell edges are 5.8895, 5.8895 and 3.8716 Å and the angles 90.00°, 90.00° and 90.00°. Symmetry generates all atoms from In at (0.0000, 0.0000, 0.0000), Sn at (0.5000, 0.5000, 0.5000), Te at (0.0000, 0.5000, 0.5000) and N at (0.5000, 0.5000, 0.0000).